LaCuPb: optimized geometry, GGA-PBE. Values from VASP.

Cell and atoms, written as Quantum ESPRESSO input:
```
&SYSTEM
  ibrav = 0, nat = 6, ntyp = 3
/
ATOMIC_SPECIES
La 138.91 La.upf
Cu 63.55 Cu.upf
Pb 207.20 Pb.upf
CELL_PARAMETERS angstrom
5.344 0.000 0.000
-2.672 4.628 0.000
0.000 0.000 6.519
ATOMIC_POSITIONS angstrom
La 0.000 3.085 1.630
La 2.672 1.543 4.889
Cu 0.000 0.000 0.000
Cu 0.000 0.000 3.260
Pb 0.000 3.085 4.889
Pb 2.672 1.543 1.630
```

## Properties
**Crystal system**: hexagonal
**VASP energy**: -25.2 eV per cell